Entry 1:
## In2AgBr (PBE)

Data for crystalline In2AgBr at its relaxed geometry.

a b c (Å): 3.8919 3.8919 24.7394
angles (deg): 90.00 90.00 120.00
Space group R3m (No. 160, hexagonal axes)
Symmetry-distinct sites (fractional):
1 In 0.0000 0.0000 0.0000 x3
2 In 0.0000 0.0000 0.1868 x3
3 Ag 0.0000 0.0000 0.5929 x3
4 Br 0.0000 0.0000 0.7652 x3

## Properties
Distance to the lowest polymorph of the same formula   31 meV per atom
M_tot   0.000 μB/atom
Formation energy without anion corrections   -133 meV/atom
Calculated total energy   -2.63 eV per atom


Entry 2:
## InAgBr (PBE)

Data for crystalline InAgBr at its relaxed geometry.

a b c (Å): 4.906 4.094 8.734
angles (deg): 90.00 90.70 90.00
Space group P2_1/m (No. 11)
Symmetry-distinct sites (fractional):
1 In 0.021 0.250 0.348 x2
2 Ag 0.403 0.250 0.601 x2
3 Br 0.257 0.750 0.146 x2

## Properties
Distance to the lowest polymorph of the same formula   0 meV per atom
M_tot   0.000 μB/atom
Formation energy without anion corrections   -257 meV/atom
Calculated total energy   -2.68 eV per atom


Entry 3:
## In2AgBr (PBE)

Data for crystalline In2AgBr at its relaxed geometry.

a b c (Å): 3.708 5.449 10.138
angles (deg): 90.00 90.00 90.00
Space group Immm (No. 71)
Symmetry-distinct sites (fractional):
1 In 0.000 0.000 0.233 x4
2 Ag 0.000 0.500 0.500 x2
3 Br 0.000 0.500 0.000 x2

## Properties
Distance to the lowest polymorph of the same formula   127 meV per atom
M_tot   0.000 μB/atom
Formation energy without anion corrections   -38 meV/atom
Calculated total energy   -2.54 eV per atom


Entry 4:
## InAg2Br (PBE)

Data for crystalline InAg2Br at its relaxed geometry.

a b c (Å): 4.891 3.473 5.646
angles (deg): 90.00 108.23 90.00
Space group P2/m (No. 10)
Symmetry-distinct sites (fractional):
1 In 0.000 0.000 0.000 x1
2 Ag 0.500 0.000 0.500 x1
3 Ag 0.500 0.500 0.000 x1
4 Br 0.000 0.500 0.500 x1

## Properties
Distance to the lowest polymorph of the same formula   89 meV per atom
M_tot   0.000 μB/atom
Formation energy without anion corrections   21 meV/atom
Calculated total energy   -2.51 eV per atom


Entry 5:
## In4AgBr5 (PBE)

Data for crystalline In4AgBr5 at its relaxed geometry.

a b c (Å): 10.222 10.222 6.582
angles (deg): 90.00 90.00 90.00
Space group I4 (No. 79)
Symmetry-distinct sites (fractional):
1 In 0.095 0.303 0.000 x8
2 Ag 0.000 0.000 0.447 x2
3 Br 0.000 0.000 0.012 x2
4 Br 0.104 0.260 0.505 x8

## Properties
M_tot   0.000 μB/atom
Formation energy without anion corrections   -571 meV/atom
Calculated total energy   -2.79 eV per atom


Entry 6:
## In2AgBr (PBE)

Data for crystalline In2AgBr at its relaxed geometry.

a b c (Å): 12.341 3.397 5.467
angles (deg): 90.00 115.72 90.00
Space group Cm (No. 8)
Symmetry-distinct sites (fractional):
1 In 0.000 0.000 0.000 x2
2 In 0.237 0.000 0.729 x2
3 Ag 0.016 0.500 0.515 x2
4 Br 0.276 0.500 0.271 x2

## Properties
Distance to the lowest polymorph of the same formula   57 meV per atom
M_tot   0.000 μB/atom
Formation energy without anion corrections   -108 meV/atom
Calculated total energy   -2.61 eV per atom


Entry 7:
## InAg2Br (PBE)

Data for crystalline InAg2Br at its relaxed geometry.

a b c (Å): 3.772 3.790 6.540
angles (deg): 90.00 90.00 90.00
Space group Pmmm (No. 47)
Symmetry-distinct sites (fractional):
1 In 0.000 0.000 0.000 x1
2 Ag 0.500 0.500 0.217 x2
3 Br 0.000 0.000 0.500 x1

## Properties
Distance to the lowest polymorph of the same formula   74 meV per atom
M_tot   0.000 μB/atom
Formation energy without anion corrections   5 meV/atom
Calculated total energy   -2.52 eV per atom


Entry 8:
## InAg3Br8 (PBE)

Data for crystalline InAg3Br8 at its relaxed geometry.

a b c (Å): 15.027 7.735 7.521
angles (deg): 90.00 119.83 90.00
Space group C2/m (No. 12)
Symmetry-distinct sites (fractional):
1 In 0.000 0.000 0.000 x2
2 Ag 0.000 0.500 0.000 x2
3 Ag 0.250 0.250 0.500 x4
4 Br 0.000 0.247 0.248 x8
5 Br 0.220 0.000 0.215 x4
6 Br 0.244 0.500 0.257 x4

## Properties
M_tot   0.000 μB/atom
Formation energy without anion corrections   -424 meV/atom
Calculated total energy   -2.48 eV per atom


Entry 9:
## InAg2Br (PBE)

Data for crystalline InAg2Br at its relaxed geometry.

a b c (Å): 13.390 3.562 4.697
angles (deg): 90.00 106.96 90.00
Space group Cm (No. 8)
Symmetry-distinct sites (fractional):
1 In 0.000 0.000 0.000 x2
2 Ag 0.024 0.500 0.542 x2
3 Ag 0.356 0.500 0.343 x2
4 Br 0.210 0.000 0.450 x2

## Properties
Distance to the lowest polymorph of the same formula   4 meV per atom
M_tot   0.000 μB/atom
Formation energy without anion corrections   -65 meV/atom
Calculated total energy   -2.59 eV per atom


Entry 10:
## In2AgBr (PBE)

Data for crystalline In2AgBr at its relaxed geometry.

a b c (Å): 3.8233 3.8233 25.2233
angles (deg): 90.00 90.00 120.00
Space group R3m (No. 160, hexagonal axes)
Symmetry-distinct sites (fractional):
1 In 0.0000 0.0000 0.0000 x3
2 In 0.0000 0.0000 0.2392 x3
3 Ag 0.0000 0.0000 0.7382 x3
4 Br 0.0000 0.0000 0.4827 x3

## Properties
Distance to the lowest polymorph of the same formula   60 meV per atom
M_tot   0.000 μB/atom
Formation energy without anion corrections   -105 meV/atom
Calculated total energy   -2.61 eV per atom


Entry 11:
## InAgBr (PBE)

Data for crystalline InAgBr at its relaxed geometry.

a b c (Å): 4.637 5.550 11.824
angles (deg): 90.00 90.00 90.00
Space group Fmm2 (No. 42)
Symmetry-distinct sites (fractional):
1 In 0.000 0.000 0.000 x4
2 Ag 0.000 0.000 0.356 x4
3 Br 0.000 0.000 0.708 x4

## Properties
Distance to the lowest polymorph of the same formula   128 meV per atom
M_tot   0.000 μB/atom
Formation energy without anion corrections   -129 meV/atom
Calculated total energy   -2.55 eV per atom


Entry 12:
## InAgBr (PBE)

Data for crystalline InAgBr at its relaxed geometry.

a b c (Å): 6.937 4.022 5.743
angles (deg): 90.00 90.25 90.00
Space group Cm (No. 8)
Symmetry-distinct sites (fractional):
1 In 0.000 0.000 0.000 x2
2 Ag 0.165 0.500 0.716 x2
3 Br 0.329 0.000 0.398 x2

## Properties
Distance to the lowest polymorph of the same formula   55 meV per atom
M_tot   0.000 μB/atom
Formation energy without anion corrections   -202 meV/atom
Calculated total energy   -2.62 eV per atom